Tb3Nd5Sm3: optimized geometry, PBE.

Values from the calculation:
Total energy   -4.40 eV per atom
DFT formation energy   0.32 eV per atom
Space-group type   P-62m
Energy above the lowest structure with this stoichiometry   0.05 eV/f.u.
Volume   387.8 Å³/cell

Lattice parameters (Å, degrees): 11.3255 11.3255 3.4914 90.00 90.00 120.00
Atoms (fractional coordinates):
Tb1 0.0000 0.4054 0.0000
Tb2 0.4054 0.0000 0.0000
Tb3 0.5946 0.5946 0.0000
Nd1 0.0000 0.1618 0.5000
Nd2 0.1618 0.0000 0.5000
Nd3 0.3333 0.6667 0.5000
Nd4 0.6667 0.3333 0.5000
Nd5 0.8382 0.8382 0.5000
Sm1 0.0000 0.6582 0.5000
Sm2 0.3418 0.3418 0.5000
Sm3 0.6582 0.0000 0.5000

***

CeNd2Si2Ni2: optimized geometry, PBE.

Values from the calculation:
Total energy   -6.02 eV per atom
Space-group type   R-3m
ΔE_f (raw)   -4.25 eV/f.u.
Volume   159.6 Å³/cell

Lattice parameters (Å, degrees): 11.1459 11.1459 11.1459 21.27 21.27 21.27
Atoms (fractional coordinates):
Ce1 0.0000 0.0000 0.0000
Nd1 0.1155 0.1155 0.1155
Nd2 0.8845 0.8845 0.8845
Si1 0.2733 0.2733 0.2733
Si2 0.7267 0.7267 0.7267
Ni1 0.3903 0.3903 0.3903
Ni2 0.6097 0.6097 0.6097